Record 1
Here is a relaxed structure of Sc2SiNiH from Alexandria. Energies are from PBE.

Spin magnetization, μB/f.u.: 0.00
Raw total energy, eV per atom: -6.005
V, Å³ per atom: 13.70

Cell: 4.3673 4.3673 3.5920 Å, 90.00 90.00 90.00°
With the nearest neighbours (Å) after each atom.
Space group P4/mmm (No. 123)
Symmetry-distinct sites (fractional):
Sc (0.0000, 0.5000, 0.0000)  2 H 2.18
Si (0.0000, 0.0000, 0.5000)  8 Sc 2.83, 4 Ni 3.09
Ni (0.5000, 0.5000, 0.5000)  2 H 1.80
H (0.5000, 0.5000, 0.0000)  2 Ni 1.80

=====

Record 2
Here is a relaxed structure of CsBe3Ru from Alexandria. Energies are from PBE.

Spin magnetization, μB/f.u.: 2.23
Offset from the most stable computed form, eV/atom: 2.221
V, Å³ per atom: 21.46

Cell: 4.7517 4.7517 4.7517 Å, 90.00 90.00 90.00°
With the nearest neighbours (Å) after each atom.
Space group Pm-3m (No. 221)
Symmetry-distinct sites (fractional):
Cs (0.0000, 0.0000, 0.0000)  6 Be 2.38
Be (0.0000, 0.0000, 0.5000)  2 Cs 2.38
Ru (0.5000, 0.5000, 0.5000)  12 Be 3.36

=====

Record 3
Here is a relaxed structure of Ba2PtF from Alexandria. Energies are from PBE.

Spin magnetization, μB/f.u.: 0.00
Offset from the most stable computed form, eV/atom: 0.061
Uncorrected formation energy, eV per atom: -1.66
V, Å³ per atom: 31.37

Cell: 4.3345 4.3345 23.1334 Å, 90.00 90.00 120.00°
With the nearest neighbours (Å) after each atom.
Space group R3m (No. 160, hexagonal axes)
Symmetry-distinct sites (fractional):
Ba (0.0000, 0.0000, 0.0000)  3 F 2.94, 3 Pt 3.17
Ba (0.0000, 0.0000, 0.1709)  3 Pt 3.09
Pt (0.0000, 0.0000, 0.5825)  6 Ba 3.09-3.17
F (0.0000, 0.0000, 0.3998)  3 Ba 2.94

=====

Record 4
Here is a relaxed structure of NaTmPd2 from Alexandria. Energies are from PBE.

Spin magnetization, μB/f.u.: 0.00
Offset from the most stable computed form, eV/atom: 0.000
V, Å³ per atom: 20.81

Cell: 3.4099 3.4099 7.1590 Å, 90.00 90.00 90.00°
With the nearest neighbours (Å) after each atom.
Space group P4/mmm (No. 123)
Symmetry-distinct sites (fractional):
Na (0.0000, 0.0000, 0.0000)  8 Pd 3.12, 4 Na 3.41
Tm (0.0000, 0.0000, 0.5000)  8 Pd 2.89
Pd (0.5000, 0.5000, 0.2776)  4 Tm 2.89, 4 Na 3.12, 1 Pd 3.18

=====

Record 5
Here is a relaxed structure of SrCu2Mo from Alexandria. Energies are from PBE.

Spin magnetization, μB/f.u.: 1.45
Offset from the most stable computed form, eV/atom: 0.213
V, Å³ per atom: 18.05

Cell: 4.9277 4.9277 2.9731 Å, 90.00 90.00 90.00°
With the nearest neighbours (Å) after each atom.
Space group P4/mmm (No. 123)
Symmetry-distinct sites (fractional):
Sr (0.0000, 0.0000, 0.0000)  8 Cu 2.88, 2 Sr 2.97
Cu (0.0000, 0.5000, 0.5000)  4 Mo 2.88, 4 Sr 2.88, 2 Cu 2.97
Mo (0.5000, 0.5000, 0.0000)  8 Cu 2.88, 2 Mo 2.97

=====

Record 6
Here is a relaxed structure of Dy2Er3Sc7 from Alexandria. Energies are from PBE.

Spin magnetization, μB/f.u.: 1.24
Offset from the most stable computed form, eV/atom: 0.160
V, Å³ per atom: 28.92

Cell: 3.5164 5.2528 18.8711 Å, 90.00 95.35 90.00°
With the nearest neighbours (Å) after each atom.
Space group P2/m (No. 10)
Symmetry-distinct sites (fractional):
Dy (0.1372, 0.0000, 0.2734)  5 Sc 3.00-3.35
Er (0.0000, 0.0000, 0.0000)  8 Sc 3.06-3.16
Er (0.3261, 0.5000, 0.6530)  4 Dy 3.45, 2 Er 3.52, 4 Sc 3.55
Sc (0.0817, 0.5000, 0.1625)  8 Sc 3.21-3.52, 2 Dy 3.35
Sc (0.2165, 0.0000, 0.4328)  1 Dy 3.00, 2 Sc 3.08
Sc (0.4328, 0.0000, 0.8664)  2 Er 3.06-3.07, 2 Dy 3.16, 4 Sc 3.21
Sc (0.5000, 0.5000, 0.0000)  4 Er 3.16, 6 Sc 3.52

=====

Record 7
Here is a relaxed structure of NaPmYGa from Alexandria. Energies are from PBE.

Spin magnetization, μB/f.u.: 0.00
Raw total energy, eV per atom: -4.039
V, Å³ per atom: 26.30

Cell: 7.4933 7.4933 7.4933 Å, 90.00 90.00 90.00°
With the nearest neighbours (Å) after each atom.
Space group F-43m (No. 216)
Symmetry-distinct sites (fractional):
Na (0.0000, 0.0000, 0.0000)  4 Pm 3.24, 4 Y 3.24
Pm (0.2500, 0.2500, 0.7500)  4 Ga 3.24, 4 Na 3.24
Y (0.2500, 0.2500, 0.2500)  4 Na 3.24, 4 Ga 3.24
Ga (0.0000, 0.0000, 0.5000)  4 Y 3.24, 4 Pm 3.24

=====

Record 8
Here is a relaxed structure of InIrRh2 from Alexandria. Energies are from PBE.

Spin magnetization, μB/f.u.: 1.65
Raw total energy, eV per atom: -6.464
V, Å³ per atom: 15.92

Cell: 6.3388 6.3388 6.3388 Å, 90.00 90.00 90.00°
With the nearest neighbours (Å) after each atom.
Space group F-43m (No. 216)
Symmetry-distinct sites (fractional):
In (0.0000, 0.0000, 0.0000)  4 Rh 2.74, 4 Ir 2.74
Ir (0.2500, 0.2500, 0.7500)  4 In 2.74, 4 Rh 2.74
Rh (0.0000, 0.0000, 0.5000)  4 Ir 2.74, 4 Rh 2.74
Rh (0.2500, 0.2500, 0.2500)  4 In 2.74, 4 Rh 2.74

=====

> Which formula does entry 4 have?

NaTmPd2

=====

Copy entry 8 word for word.
Here is a relaxed structure of InIrRh2 from Alexandria. Energies are from PBE.

Spin magnetization, μB/f.u.: 1.65
Raw total energy, eV per atom: -6.464
V, Å³ per atom: 15.92

Cell: 6.3388 6.3388 6.3388 Å, 90.00 90.00 90.00°
With the nearest neighbours (Å) after each atom.
Space group F-43m (No. 216)
Symmetry-distinct sites (fractional):
In (0.0000, 0.0000, 0.0000)  4 Rh 2.74, 4 Ir 2.74
Ir (0.2500, 0.2500, 0.7500)  4 In 2.74, 4 Rh 2.74
Rh (0.0000, 0.0000, 0.5000)  4 Ir 2.74, 4 Rh 2.74
Rh (0.2500, 0.2500, 0.2500)  4 In 2.74, 4 Rh 2.74

=====

What did the seventh record say?
Here is a relaxed structure of NaPmYGa from Alexandria. Energies are from PBE.

Spin magnetization, μB/f.u.: 0.00
Raw total energy, eV per atom: -4.039
V, Å³ per atom: 26.30

Cell: 7.4933 7.4933 7.4933 Å, 90.00 90.00 90.00°
With the nearest neighbours (Å) after each atom.
Space group F-43m (No. 216)
Symmetry-distinct sites (fractional):
Na (0.0000, 0.0000, 0.0000)  4 Pm 3.24, 4 Y 3.24
Pm (0.2500, 0.2500, 0.7500)  4 Ga 3.24, 4 Na 3.24
Y (0.2500, 0.2500, 0.2500)  4 Na 3.24, 4 Ga 3.24
Ga (0.0000, 0.0000, 0.5000)  4 Y 3.24, 4 Pm 3.24